# BaLu2O4

BaLu2O4 at its PBEsol-relaxed geometry (SCAN, the Alexandria database).

CIF file:
```
data_BaLu2O4
_chemical_formula_sum 'Ba4 Lu8 O16'
_cell_length_a 10.206
_cell_length_b 3.350
_cell_length_c 11.796
_cell_angle_alpha 90.00
_cell_angle_beta 90.00
_cell_angle_gamma 90.00
_space_group_name_H-M_alt 'P n m a'
_space_group_IT_number 62
loop_
_space_group_symop_operation_xyz
'x,y,z'
'-x,-y,-z'
'-x+1/2,-y,z+1/2'
'x+1/2,y,-z+1/2'
'x+1/2,-y+1/2,-z+1/2'
'-x+1/2,y+1/2,z+1/2'
'-x,y+1/2,-z'
'x,-y+1/2,z'
loop_
_atom_site_label
_atom_site_type_symbol
_atom_site_fract_x
_atom_site_fract_y
_atom_site_fract_z
_atom_site_occupancy
Ba1 Ba 0.247 0.250 0.150 1
Lu1 Lu 0.073 0.250 0.390 1
Lu2 Lu 0.078 0.250 0.892 1
O1 O 0.019 0.750 0.783 1
O2 O 0.068 0.250 0.574 1
O3 O 0.112 0.750 0.017 1
O4 O 0.210 0.750 0.347 1
```

Results
The calculation puts the excess energy over the best structure of this formula in the dataset at 0 kJ/mol of formula units. The theoretical density is 9080 kg/m³.

=====

# BaLu2O4

BaLu2O4 at its PBEsol-relaxed geometry (SCAN, the Alexandria database).

CIF file:
```
data_BaLu2O4
_chemical_formula_sum 'Ba4 Lu8 O16'
_cell_length_a 3.332
_cell_length_b 10.950
_cell_length_c 11.195
_cell_angle_alpha 90.00
_cell_angle_beta 90.00
_cell_angle_gamma 90.00
_space_group_name_H-M_alt 'C m c m'
_space_group_IT_number 63
_space_group_name_Hall '-C 2c 2'
loop_
_atom_site_label
_atom_site_type_symbol
_atom_site_fract_x
_atom_site_fract_y
_atom_site_fract_z
_atom_site_occupancy
Ba1 Ba 0.000 0.113 0.250 1
Lu1 Lu 0.000 0.365 0.070 1
O1 O 0.000 0.000 0.000 1
O2 O 0.000 0.260 0.600 1
O3 O 0.000 0.431 0.250 1
```

Results
The calculation puts the excess energy over the best structure of this formula in the dataset at 33 kJ/mol of formula units. The theoretical density is 8965 kg/m³.

=====

Short version: calculated volume = 403.24; 408.42 Å³ per cell, in the order given.
Short version: E_tot = -201.1; -200.7 eV per formula unit, in the order given.
Short version: formation energy (no corrections) = -3.6988; -3.6506 eV per atom, in the order given.